Record 1
# GaGeH2

GaGeH2 after structural relaxation (PBE-GGA, the Alexandria database).

a b c (Å): 4.1819 4.1819 6.6245
angles (deg): 71.60 71.60 90.00
Atoms (fractional coordinates):
H 0.8689 0.1250 0.2500
H 0.8811 0.6250 0.2500
H 0.3750 0.1311 0.7500
H 0.8750 0.1189 0.7500
Ge 0.0000 0.0000 0.0000
Ge 0.7500 0.2500 0.5000
Ga 0.5000 0.5000 0.0000
Ga 0.2500 0.7500 0.5000

Results
V (Å³/cell): 104
Excess energy over the best structure of this formula in the dataset (eV per atom): 0.000



Record 2
# Hf7Tl2Co2

Hf7Tl2Co2 after structural relaxation (PBE-GGA, the Alexandria database).

a b c (Å): 6.2963 6.3911 6.2963
angles (deg): 90.00 105.31 90.00
Atoms (fractional coordinates):
Hf 0.0000 0.2381 0.5000
Hf 0.5000 0.7619 0.0000
Hf 0.0000 0.7619 0.5000
Hf 0.5000 0.2381 0.0000
Hf 0.0000 0.0000 0.0000
Hf 0.5000 0.7670 0.5000
Hf 0.5000 0.2330 0.5000
Tl 0.8167 0.5000 0.8167
Tl 0.1833 0.5000 0.1833
Co 0.7157 0.0000 0.2843
Co 0.2843 0.0000 0.7157

Results
V (Å³/cell): 244
E (eV/atom): -7.928



Record 3
# Y3Be2Pd5

Y3Be2Pd5 after structural relaxation (PBE-GGA, the Alexandria database).

a b c (Å): 3.6191 9.8435 9.8435
angles (deg): 90.00 90.00 90.00
Atoms (fractional coordinates):
Y 0.0000 0.3225 0.8225
Y 0.0000 0.6775 0.1775
Y 0.0000 0.1775 0.3225
Y 0.0000 0.8225 0.6775
Y 0.0000 0.0000 0.0000
Y 0.0000 0.5000 0.5000
Be 0.0000 0.1149 0.6149
Be 0.0000 0.8851 0.3851
Be 0.0000 0.3851 0.1149
Be 0.0000 0.6149 0.8851
Pd 0.5000 0.2251 0.0705
Pd 0.5000 0.7749 0.9295
Pd 0.5000 0.9295 0.2251
Pd 0.5000 0.0705 0.7749
Pd 0.5000 0.2749 0.5705
Pd 0.5000 0.7251 0.4295
Pd 0.5000 0.5705 0.7251
Pd 0.5000 0.4295 0.2749
Pd 0.5000 0.0000 0.5000
Pd 0.5000 0.5000 0.0000

Results
V (Å³/cell): 351
E (eV/atom): -6.064



Record 4
# Pm6SbTe2Se3

Pm6SbTe2Se3 after structural relaxation (PBE-GGA, the Alexandria database).

a b c (Å): 4.3141 8.7327 9.7193
angles (deg): 103.40 102.82 90.00
Atoms (fractional coordinates):
Pm 0.3305 0.9355 0.6609
Pm 0.6589 0.6012 0.3179
Pm 0.6695 0.0645 0.3391
Pm 0.9941 0.2572 0.9882
Pm 0.0059 0.7428 0.0118
Pm 0.3411 0.3988 0.6821
Sb 0.5000 0.0000 0.0000
Te 0.8321 0.6643 0.6641
Te 0.1679 0.3357 0.3359
Se 0.5000 0.5000 0.0000
Se 0.8324 0.1662 0.6649
Se 0.1676 0.8338 0.3351

Results
V (Å³/cell): 347
Uncorrected formation energy (eV per atom): -1.60



Record 5
# Pm2ErIn

Pm2ErIn after structural relaxation (PBE-GGA, the Alexandria database).

a b c (Å): 4.9563 4.8835 4.8835
angles (deg): 90.00 90.00 90.00
Atoms (fractional coordinates):
Pm 0.0000 0.0000 0.5000
Pm 0.0000 0.5000 0.0000
In 0.5000 0.0000 0.0000
Er 0.5000 0.5000 0.5000

Results
V (Å³/cell): 118
Excess energy over the best structure of this formula in the dataset (eV per atom): 0.000



Record 6
# BeCr2Bi

BeCr2Bi after structural relaxation (PBE-GGA, the Alexandria database).

a b c (Å): 3.7322 3.7322 9.3875
angles (deg): 78.53 78.53 90.00
Atoms (fractional coordinates):
Cr 0.5429 0.1250 0.2500
Cr 0.2071 0.6250 0.2500
Cr 0.3750 0.4571 0.7500
Cr 0.8750 0.7929 0.7500
Bi 0.0000 0.0000 0.0000
Bi 0.7500 0.2500 0.5000
Be 0.5000 0.5000 0.0000
Be 0.2500 0.7500 0.5000

Results
V (Å³/cell): 125
Excess energy over the best structure of this formula in the dataset (eV per atom): 0.080



Record 7
# Pm5NdY

Pm5NdY after structural relaxation (PBE-GGA, the Alexandria database).

a b c (Å): 6.9330 6.9330 13.7884
angles (deg): 62.17 62.17 59.77
Atoms (fractional coordinates):
Pm 0.1539 0.4033 0.7530
Pm 0.6571 0.6868 0.4997
Pm 0.4033 0.1539 0.2530
Pm 0.1596 0.8404 0.7500
Pm 0.3132 0.3429 0.0003
Pm 0.6868 0.6571 0.9997
Pm 0.8404 0.1596 0.2500
Pm 0.5967 0.8461 0.7470
Pm 0.3429 0.3132 0.5003
Pm 0.8461 0.5967 0.2470
Nd 0.7197 0.2803 0.7500
Nd 0.2803 0.7197 0.2500
Y 0.0000 0.0000 0.0000
Y 0.0000 0.0000 0.5000

Results
V (Å³/cell): 483
Excess energy over the best structure of this formula in the dataset (eV per atom): 0.000



Record 8
# AcErPt2

AcErPt2 after structural relaxation (PBE-GGA, the Alexandria database).

a b c (Å): 4.1600 4.1600 7.5372
angles (deg): 73.98 73.98 60.00
Atoms (fractional coordinates):
Ac 0.4968 0.4968 0.5095
Er 0.6698 0.6698 0.9907
Pt 0.0743 0.0743 0.7770
Pt 0.2590 0.2590 0.2229

Results
V (Å³/cell): 107
Excess energy over the best structure of this formula in the dataset (eV per atom): 0.106



Record 9
# BiPd4Au2

BiPd4Au2 after structural relaxation (PBE-GGA, the Alexandria database).

a b c (Å): 4.5718 4.5718 7.9225
angles (deg): 73.23 73.23 60.00
Atoms (fractional coordinates):
Bi 0.0000 0.0000 0.0000
Pd 0.8752 0.8752 0.3743
Pd 0.1248 0.1248 0.6257
Pd 0.6199 0.6199 0.1403
Pd 0.3801 0.3801 0.8597
Au 0.7554 0.7554 0.7337
Au 0.2446 0.2446 0.2663

Results
V (Å³/cell): 135
Excess energy over the best structure of this formula in the dataset (eV per atom): 0.072



Record 10
# Sm12Ho7In

Sm12Ho7In after structural relaxation (PBE-GGA, the Alexandria database).

a b c (Å): 9.9343 9.9343 9.9343
angles (deg): 109.47 109.47 109.47
Atoms (fractional coordinates):
Sm 0.5551 0.7777 0.7775
Sm 0.0002 0.7777 0.2225
Sm 0.4449 0.2223 0.2225
Sm 0.9998 0.2223 0.7775
Sm 0.7775 0.9998 0.2223
Sm 0.7775 0.5551 0.7777
Sm 0.2225 0.0002 0.7777
Sm 0.2225 0.4449 0.2223
Sm 0.7777 0.7775 0.5551
Sm 0.2223 0.2225 0.4449
Sm 0.7777 0.2225 0.0002
Sm 0.2223 0.7775 0.9998
Ho 0.5000 0.5000 0.0000
Ho 0.0000 0.5000 0.5000
Ho 0.5000 0.0000 0.5000
Ho 0.5000 0.5000 0.5000
Ho 0.0000 0.0000 0.5000
Ho 0.5000 0.0000 0.0000
Ho 0.0000 0.5000 0.0000
In 0.0000 0.0000 0.0000

Results
V (Å³/cell): 755
Excess energy over the best structure of this formula in the dataset (eV per atom): 0.514



Record 11
# ScSbAuI2

ScSbAuI2 after structural relaxation (PBE-GGA, the Alexandria database).

a b c (Å): 5.4900 5.4900 5.6255
angles (deg): 90.00 90.00 90.00
Each line ends with the local moment (μB).
Atoms (fractional coordinates):
I 0.0000 0.5000 0.0000  -0.02
I 0.5000 0.0000 0.0000  -0.02
Sb 0.0000 0.0000 0.5000  -0.08
Au 0.0000 0.0000 0.0000  -0.01
Sc 0.5000 0.5000 0.5000  0.41

Results
V (Å³/cell): 170
Excess energy over the best structure of this formula in the dataset (eV per atom): 0.334
Uncorrected formation energy (eV per atom): 0.36